VASP calculation (PBE with a Hubbard U) on a relaxed structure of Si3MoF.

Cell lengths 4.3089, 4.3089, 4.3089 Å; angles 90.00, 90.00, 90.00 degrees
Positions (direct):
Si1 0.0000 0.0000 0.5000
Si2 0.0000 0.5000 0.0000
Si3 0.5000 0.0000 0.0000
Mo1 0.5000 0.5000 0.5000
F1 0.0000 0.0000 0.0000

## Properties
Magnetization in μB per atom: 0.577
E above lowest polymorph in meV per atom: 85
Electronic total energy in eV per formula unit: -22.66
ρ in g/cm³: 4.1
Space-group type: Pm-3m (221)